This record from Alexandria describes a relaxed PbI2N2 crystal. The functional is PBE.

It has space group P4/mbm (No. 127), with a = 7.809 Å, b = 7.809 Å, c = 3.941 Å, α = 90.00°, β = 90.00° and γ = 90.00°. The inequivalent atoms are Pb at (0.000, 0.000, 0.000), I at (0.169, 0.331, 0.500) and N at (0.242, 0.742, 0.000).

The value obtained for the distance to the lowest polymorph of the same formula is 1.6022 eV/atom. As for the formation energy without anion corrections: 117 kJ per mole of atoms.

This record from Alexandria describes a relaxed HoTm3Sc3 crystal. The functional is PBE.

It has space group P-1 (No. 2), with a = 5.883 Å, b = 5.885 Å, c = 13.988 Å, α = 77.89°, β = 77.91° and γ = 60.03°. The inequivalent atoms are Ho at (0.167, 0.167, 0.000), Tm at (0.096, 0.430, 0.210), Tm at (0.236, 0.904, 0.790), Tm at (0.430, 0.764, 0.210), Sc at (0.032, 0.697, 0.407), Sc at (0.303, 0.636, 0.594) and Sc at (0.364, 0.032, 0.406).

The formation energy comes out at 0.154 eV per atom. The value obtained for the distance to the lowest polymorph of the same formula is 0.1365 eV/atom.

This record from Alexandria describes a relaxed DyHoUO6 crystal. The functional is PBE.

It has space group P-31c (No. 163), with a = 5.7534 Å, b = 5.7534 Å, c = 9.3716 Å, α = 90.00°, β = 90.00° and γ = 120.00°. The inequivalent atoms are Dy at (0.0000, 0.0000, 0.0000), Ho at (0.3333, 0.6667, 0.2500), U at (0.3333, 0.6667, 0.7500) and O at (0.0216, 0.3538, 0.6340).

As for the formation energy without anion corrections: -324 kJ per mole of atoms.

This record from Alexandria describes a relaxed ZrAg3Sn crystal. The functional is PBE.

It has space group Pm-3m (No. 221), with a = 5.277 Å, b = 5.277 Å, c = 5.277 Å, α = 90.00°, β = 90.00° and γ = 90.00°. The inequivalent atoms are Zr at (0.000, 0.000, 0.000), Ag at (0.000, 0.000, 0.500) and Sn at (0.500, 0.500, 0.500).

The formation energy comes out at 1.077 eV per atom. The value obtained for the distance to the lowest polymorph of the same formula is 0.2842 eV/atom.

This record from Alexandria describes a relaxed Mg5HIr3 crystal. The functional is PBE.

It has space group P-1 (No. 2), with a = 4.506 Å, b = 4.506 Å, c = 7.275 Å, α = 72.12°, β = 72.22° and γ = 89.54°. The inequivalent atoms are Mg at (0.000, 0.000, 0.000), Mg at (0.135, 0.626, 0.739), Mg at (0.373, 0.866, 0.261), H at (0.500, 0.500, 0.500), Ir at (0.228, 0.228, 0.505) and Ir at (0.500, 0.500, 0.000).

The value obtained for the distance to the lowest polymorph of the same formula is 0.0690 eV/atom.

This record from Alexandria describes a relaxed CaAcTlAu crystal. The functional is PBE.

It has space group F-43m (No. 216), with a = 7.820 Å, b = 7.820 Å, c = 7.820 Å, α = 90.00°, β = 90.00° and γ = 90.00°. The inequivalent atoms are Ca at (0.000, 0.000, 0.000), Ac at (0.000, 0.000, 0.500), Tl at (0.250, 0.250, 0.750) and Au at (0.250, 0.250, 0.250).

The formation energy comes out at -0.572 eV per atom. The value obtained for the distance to the lowest polymorph of the same formula is 0.0142 eV/atom.

This record from Alexandria describes a relaxed RbBaH2 crystal. The functional is PBE.

It has space group I-42d (No. 122), with a = 6.510 Å, b = 6.510 Å, c = 12.926 Å, α = 90.00°, β = 90.00° and γ = 90.00°. The inequivalent atoms are Rb at (0.000, 0.000, 0.000), Ba at (0.000, 0.000, 0.500) and H at (0.167, 0.250, 0.625).

The value obtained for the distance to the lowest polymorph of the same formula is 0.1285 eV/atom.

This record from Alexandria describes a relaxed Pa2PtW crystal. The functional is PBE.

It has space group P4/mmm (No. 123), with a = 4.971 Å, b = 4.971 Å, c = 3.469 Å, α = 90.00°, β = 90.00° and γ = 90.00°. The inequivalent atoms are Pa at (0.000, 0.500, 0.000), Pt at (0.000, 0.000, 0.500) and W at (0.500, 0.500, 0.500).

The formation energy comes out at -0.176 eV per atom. The value obtained for the distance to the lowest polymorph of the same formula is 0.0000 eV/atom.

This record from Alexandria describes a relaxed Tb4Nd2Dy3 crystal. The functional is PBE.

It has space group C2/c (No. 15), with a = 16.340 Å, b = 11.656 Å, c = 6.161 Å, α = 90.00°, β = 96.13° and γ = 90.00°. The inequivalent atoms are Tb at (0.047, 0.140, 0.015), Tb at (0.216, 0.361, 0.848), Nd at (0.122, 0.357, 0.322), Dy at (0.000, 0.402, 0.750) and Dy at (0.165, 0.098, 0.593).

The formation energy comes out at 0.091 eV per atom.

This record from Alexandria describes a relaxed ErScTlOs crystal. The functional is PBE.

It has space group P4mm (No. 99), with a = 3.306 Å, b = 3.306 Å, c = 8.009 Å, α = 90.00°, β = 90.00° and γ = 90.00°. The inequivalent atoms are Er at (0.000, 0.000, 0.000), Sc at (0.000, 0.000, 0.600), Tl at (0.500, 0.500, 0.316) and Os at (0.500, 0.500, 0.784).

The formation energy comes out at -0.383 eV per atom. The value obtained for the distance to the lowest polymorph of the same formula is 0.0000 eV/atom.

This record from Alexandria describes a relaxed La2HfCu3Ni12 crystal. The functional is PBE.

It has space group R-3m (No. 166, hexagonal axes), with a = 8.5029 Å, b = 8.5029 Å, c = 12.2369 Å, α = 90.00°, β = 90.00° and γ = 120.00°. The inequivalent atoms are La at (0.0000, 0.0000, 0.1885), Hf at (0.0000, 0.0000, 0.5000), Cu at (0.0000, 0.5000, 0.0000), Ni at (0.0105, 0.5052, 0.2040) and Ni at (0.0200, 0.5100, 0.6067).

The formation energy comes out at 0.008 eV per atom.

This record from Alexandria describes a relaxed La6SmEr12 crystal. The functional is PBE.

It has space group R-3m (No. 166, hexagonal axes), with a = 13.3123 Å, b = 13.3123 Å, c = 12.6942 Å, α = 90.00°, β = 90.00° and γ = 120.00°. The inequivalent atoms are La at (0.0375, 0.5187, 0.1155), Sm at (0.0000, 0.0000, 0.5000), Er at (0.0000, 0.2535, 0.0000) and Er at (0.0918, 0.1836, 0.7632).

The formation energy comes out at 0.222 eV per atom.